# 1
An optimized crystal structure of LiLa12Hg6, computed with PBE.

The structure in CIF format:
```
data_LiLa12Hg6
_chemical_formula_sum 'Li1 La12 Hg6'
_cell_length_a 8.3222
_cell_length_b 8.3222
_cell_length_c 8.3222
_cell_angle_alpha 89.11
_cell_angle_beta 89.11
_cell_angle_gamma 89.11
_symmetry_space_group_name_H-M 'P 1'
_symmetry_Int_Tables_number 1
loop_
_symmetry_equiv_pos_as_xyz
'x,y,z'
loop_
_atom_site_label
_atom_site_type_symbol
_atom_site_fract_x
_atom_site_fract_y
_atom_site_fract_z
Li1 Li 0.0000 0.0000 0.0000
La1 La 0.8133 0.5399 0.4424
La2 La 0.4424 0.8133 0.5399
La3 La 0.5399 0.4424 0.8133
La4 La 0.1867 0.4601 0.5576
La5 La 0.5576 0.1867 0.4601
La6 La 0.4601 0.5576 0.1867
La7 La 0.0259 0.1470 0.3821
La8 La 0.8530 0.6179 0.9741
La9 La 0.6179 0.9741 0.8530
La10 La 0.9741 0.8530 0.6179
La11 La 0.1470 0.3821 0.0259
La12 La 0.3821 0.0259 0.1470
Hg1 Hg 0.7412 0.8879 0.2527
Hg2 Hg 0.7473 0.2588 0.1121
Hg3 Hg 0.1121 0.7473 0.2588
Hg4 Hg 0.2588 0.1121 0.7473
Hg5 Hg 0.2527 0.7412 0.8879
Hg6 Hg 0.8879 0.2527 0.7412
```

Results
The value obtained for the magnetization is 0.0 μB/f.u. The calculation puts the energy relative to the elements at -0.227 eV/atom. As for the calculated total energy: -0.25985 Ry/atom.


# 2
An optimized crystal structure of TiAl2CoRe, computed with PBE.

The structure in CIF format:
```
data_TiAl2CoRe
_chemical_formula_sum 'Ti1 Al2 Co1 Re1'
_cell_length_a 4.7537
_cell_length_b 4.3493
_cell_length_c 4.7537
_cell_angle_alpha 90.00
_cell_angle_beta 90.00
_cell_angle_gamma 90.00
_symmetry_space_group_name_H-M 'P 1'
_symmetry_Int_Tables_number 1
loop_
_symmetry_equiv_pos_as_xyz
'x,y,z'
loop_
_atom_site_label
_atom_site_type_symbol
_atom_site_fract_x
_atom_site_fract_y
_atom_site_fract_z
Re1 Re 0.0000 0.5000 0.0000
Co1 Co 0.5000 0.5000 0.5000
Al1 Al 0.0000 0.0000 0.5000
Al2 Al 0.5000 0.0000 0.0000
Ti1 Ti 0.0000 0.0000 0.0000
```

Results
The value obtained for the magnetization is 0.0 μB/f.u. The calculation puts the energy relative to the elements at 1.569 eV/atom. As for the calculated total energy: -0.39817 Ry/atom.


# 3
An optimized crystal structure of Zn5FeI12, computed with PBE.

The structure in CIF format:
```
data_Zn5FeI12
_chemical_formula_sum 'Zn5 Fe1 I12'
_cell_length_a 10.8477
_cell_length_b 4.0767
_cell_length_c 19.4057
_cell_angle_alpha 89.60
_cell_angle_beta 128.14
_cell_angle_gamma 79.14
_symmetry_space_group_name_H-M 'P 1'
_symmetry_Int_Tables_number 1
loop_
_symmetry_equiv_pos_as_xyz
'x,y,z'
loop_
_atom_site_label
_atom_site_type_symbol
_atom_site_fract_x
_atom_site_fract_y
_atom_site_fract_z
Zn1 Zn 0.5000 0.0000 0.5000
Zn2 Zn 0.1667 0.6672 0.4999
Zn3 Zn 0.8333 0.3329 0.5001
Zn4 Zn 0.6684 0.6660 0.0019
Zn5 Zn 0.3316 0.3340 0.9981
Fe1 Fe 0.0000 0.0000 0.0000
I1 I 0.8195 0.8431 0.3918
I2 I 0.1805 0.1569 0.6082
I3 I 0.6614 0.1723 0.8949
I4 I 0.3387 0.8277 0.1051
I5 I 0.3214 0.8424 0.8912
I6 I 0.0130 0.4902 0.1069
I7 I 0.9870 0.5098 0.8931
I8 I 0.6786 0.1576 0.1088
I9 I 0.5137 0.4903 0.6082
I10 I 0.8471 0.8231 0.6083
I11 I 0.1529 0.1769 0.3917
I12 I 0.4863 0.5097 0.3918
```

Results
The value obtained for the magnetization is 4.0 μB/f.u. As for the calculated total energy: -0.16550 Ry/atom. For the energy relative to the elements, uncorrected, the calculation gives -0.39 eV/atom.


# 4
An optimized crystal structure of ErMgAu6, computed with PBE.

The structure in CIF format:
```
data_ErMgAu6
_chemical_formula_sum 'Er1 Mg1 Au6'
_cell_length_a 4.2100
_cell_length_b 5.1530
_cell_length_c 7.9508
_cell_angle_alpha 78.35
_cell_angle_beta 74.65
_cell_angle_gamma 65.89
_symmetry_space_group_name_H-M 'P 1'
_symmetry_Int_Tables_number 1
loop_
_symmetry_equiv_pos_as_xyz
'x,y,z'
loop_
_atom_site_label
_atom_site_type_symbol
_atom_site_fract_x
_atom_site_fract_y
_atom_site_fract_z
Er1 Er 0.0000 0.5000 0.5000
Mg1 Mg 0.0000 0.0000 0.0000
Au1 Au 0.2472 0.8741 0.6314
Au2 Au 0.4998 0.2440 0.7565
Au3 Au 0.2512 0.3771 0.1204
Au4 Au 0.5002 0.7560 0.2435
Au5 Au 0.7528 0.1259 0.3686
Au6 Au 0.7488 0.6229 0.8796
```

Results
The value obtained for the magnetization is 0.0 μB/f.u. The calculation puts the energy relative to the elements at -0.534 eV/atom. As for the calculated total energy: -0.27645 Ry/atom.


# 5
An optimized crystal structure of Zn2AgAu, computed with PBE.

The structure in CIF format:
```
data_Zn2AgAu
_chemical_formula_sum 'Zn2 Ag1 Au1'
_cell_length_a 3.6719
_cell_length_b 3.6719
_cell_length_c 6.7335
_cell_angle_alpha 74.18
_cell_angle_beta 74.18
_cell_angle_gamma 60.00
_symmetry_space_group_name_H-M 'P 1'
_symmetry_Int_Tables_number 1
loop_
_symmetry_equiv_pos_as_xyz
'x,y,z'
loop_
_atom_site_label
_atom_site_type_symbol
_atom_site_fract_x
_atom_site_fract_y
_atom_site_fract_z
Zn1 Zn 0.0812 0.0812 0.7563
Zn2 Zn 0.2518 0.2518 0.2445
Ag1 Ag 0.5005 0.5005 0.4984
Au1 Au 0.6664 0.6664 0.0009
```

Results
The value obtained for the magnetization is 0.0 μB/f.u. The calculation puts the energy relative to the elements at 0.024 eV/atom. As for the calculated total energy: -0.15768 Ry/atom.


# 6
An optimized crystal structure of NaSr2I, computed with PBE.

The structure in CIF format:
```
data_NaSr2I
_chemical_formula_sum 'Na1 Sr2 I1'
_cell_length_a 4.3085
_cell_length_b 4.3085
_cell_length_c 11.4917
_cell_angle_alpha 79.20
_cell_angle_beta 79.20
_cell_angle_gamma 60.00
_symmetry_space_group_name_H-M 'P 1'
_symmetry_Int_Tables_number 1
loop_
_symmetry_equiv_pos_as_xyz
'x,y,z'
loop_
_atom_site_label
_atom_site_type_symbol
_atom_site_fract_x
_atom_site_fract_y
_atom_site_fract_z
Na1 Na 0.4997 0.4997 0.5010
Sr1 Sr 0.0754 0.0754 0.7737
Sr2 Sr 0.2579 0.2579 0.2264
I1 I 0.6670 0.6670 0.9990
```

Results
The value obtained for the magnetization is 0.0 μB/f.u. As for the calculated total energy: -0.15394 Ry/atom. For the energy relative to the elements, uncorrected, the calculation gives -0.54 eV/atom.


# 7
An optimized crystal structure of Y2Er3Tm5, computed with PBE.

The structure in CIF format:
```
data_Y2Er3Tm5
_chemical_formula_sum 'Y4 Er6 Tm10'
_cell_length_a 9.4298
_cell_length_b 9.4291
_cell_length_c 10.9777
_cell_angle_alpha 126.14
_cell_angle_beta 126.14
_cell_angle_gamma 68.09
_symmetry_space_group_name_H-M 'P 1'
_symmetry_Int_Tables_number 1
loop_
_symmetry_equiv_pos_as_xyz
'x,y,z'
loop_
_atom_site_label
_atom_site_type_symbol
_atom_site_fract_x
_atom_site_fract_y
_atom_site_fract_z
Y1 Y 0.7759 0.0183 0.7474
Y2 Y 0.2241 0.9817 0.2526
Y3 Y 0.4714 0.7291 0.7474
Y4 Y 0.5286 0.2709 0.2526
Er1 Er 0.2266 0.9766 0.9533
Er2 Er 0.7734 0.0234 0.0467
Er3 Er 0.7271 0.4697 0.2465
Er4 Er 0.2729 0.5303 0.7535
Er5 Er 0.0194 0.7767 0.2465
Er6 Er 0.9806 0.2233 0.7535
Tm1 Tm 0.2745 0.5245 0.0491
Tm2 Tm 0.7255 0.4755 0.9509
Tm3 Tm 0.0203 0.7703 0.5407
Tm4 Tm 0.5243 0.2743 0.5485
Tm5 Tm 0.9797 0.2297 0.4593
Tm6 Tm 0.4757 0.7257 0.4515
Tm7 Tm 0.8701 0.6176 0.7546
Tm8 Tm 0.1299 0.3824 0.2454
Tm9 Tm 0.3845 0.1371 0.7546
Tm10 Tm 0.6155 0.8629 0.2454
```

Results
The value obtained for the magnetization is 0.0 μB/f.u. The calculation puts the energy relative to the elements at 0.206 eV/atom. As for the calculated total energy: -0.34482 Ry/atom.


# 8
An optimized crystal structure of CdRhO3, computed with PBE.

The structure in CIF format:
```
data_CdRhO3
_chemical_formula_sum 'Cd1 Rh1 O3'
_cell_length_a 3.9060
_cell_length_b 3.9060
_cell_length_c 3.9060
_cell_angle_alpha 90.00
_cell_angle_beta 90.00
_cell_angle_gamma 90.00
_symmetry_space_group_name_H-M 'P 1'
_symmetry_Int_Tables_number 1
loop_
_symmetry_equiv_pos_as_xyz
'x,y,z'
loop_
_atom_site_label
_atom_site_type_symbol
_atom_site_fract_x
_atom_site_fract_y
_atom_site_fract_z
Rh1 Rh 0.0000 0.0000 0.0000
O1 O 0.0000 0.5000 0.0000
O2 O 0.0000 0.0000 0.5000
O3 O 0.5000 0.0000 0.0000
Cd1 Cd 0.5000 0.5000 0.5000
```

Results
The value obtained for the magnetization is 1.2 μB/f.u. As for the calculated total energy: -0.37170 Ry/atom. For the energy relative to the elements, uncorrected, the calculation gives -0.43 eV/atom.